[1]
DFT (PBE) results for an optimized crystal structure of HfTiCl3.

Lattice parameters (Å, degrees): 4.9774 4.9774 4.9774 90.00 90.00 90.00
Last column: nearest neighbours and their distance in Å.
Fractional coordinates of all 5 atoms:
1 Cl 0.0000 0.5000 0.0000  2 Hf 2.49
2 Cl 0.0000 0.0000 0.5000  2 Hf 2.49
3 Cl 0.5000 0.0000 0.0000  2 Hf 2.49
4 Hf 0.0000 0.0000 0.0000  6 Cl 2.49
5 Ti 0.5000 0.5000 0.5000  12 Cl 3.52

Summary:
Crystal system: cubic
ΔE to the lowest computed polymorph: 1014 meV/atom
Raw total energy: -24.8 eV for the cell shown
Magnetization: 3.4 Bohr magnetons per cell
Formation energy without anion corrections: -284 meV per atom

[2]
DFT (PBE) results for an optimized crystal structure of HfTi2Cl.

Lattice parameters (Å, degrees): 4.6799 4.6799 4.6799 60.00 60.00 60.00
Last column: nearest neighbours and their distance in Å.
Fractional coordinates of all 4 atoms:
1 Ti 0.2500 0.2500 0.2500  4 Hf 2.87, 4 Cl 2.87
2 Ti 0.7500 0.7500 0.7500  4 Cl 2.87, 4 Hf 2.87
3 Hf 0.5000 0.5000 0.5000  8 Ti 2.87
4 Cl 0.0000 0.0000 0.0000  8 Ti 2.87

Summary:
Crystal system: cubic
ΔE to the lowest computed polymorph: 495 meV/atom
Raw total energy: -25.5 eV for the cell shown
Magnetization: 0.0 Bohr magnetons per cell
Formation energy without anion corrections: 529 meV per atom

[3]
DFT (PBE) results for an optimized crystal structure of HfTl3Cl7.

Lattice parameters (Å, degrees): 7.2512 7.2512 8.3100 63.93 63.93 84.65
Last column: nearest neighbours and their distance in Å.
Fractional coordinates of all 11 atoms:
1 Tl 0.7801 0.2342 0.4858  6 Cl 3.06-3.39
2 Tl 0.5104 0.5104 0.8987  5 Cl 3.14-3.36
3 Tl 0.2342 0.7801 0.4858  6 Cl 3.06-3.39
4 Cl 0.6752 0.6752 0.4063  1 Hf 2.71
5 Cl 0.2967 0.9770 0.7472  1 Hf 2.56
6 Cl 0.6418 0.1331 0.1897  1 Hf 2.60
7 Cl 0.9770 0.2967 0.7472  1 Hf 2.56
8 Cl 0.1331 0.6418 0.1897  1 Hf 2.60
9 Cl 0.7919 0.7919 0.9218  1 Hf 2.44
10 Cl 0.1321 0.1321 0.1370  1 Hf 2.48
11 Hf 0.9526 0.9526 0.0408  7 Cl 2.44-2.71

Summary:
Crystal system: monoclinic
Raw total energy: -45.0 eV for the cell shown
Magnetization: 0.0 Bohr magnetons per cell
Formation energy without anion corrections: -1361 meV per atom

[4]
DFT (PBE) results for an optimized crystal structure of Hf3TlCl.

Lattice parameters (Å, degrees): 4.7735 4.7735 4.7735 90.00 90.00 90.00
Last column: nearest neighbours and their distance in Å.
Fractional coordinates of all 5 atoms:
1 Hf 0.5000 0.0000 0.0000  2 Cl 2.39
2 Hf 0.0000 0.0000 0.5000  2 Cl 2.39
3 Hf 0.0000 0.5000 0.0000  2 Cl 2.39
4 Tl 0.5000 0.5000 0.5000  12 Hf 3.38
5 Cl 0.0000 0.0000 0.0000  6 Hf 2.39

Summary:
Crystal system: cubic
ΔE to the lowest computed polymorph: 0 meV/atom
Raw total energy: -32.8 eV for the cell shown
Magnetization: 0.0 Bohr magnetons per cell
Formation energy without anion corrections: 252 meV per atom

[5]
DFT (PBE) results for an optimized crystal structure of HfTl2Cl6.

Lattice parameters (Å, degrees): 6.9749 6.9749 13.2507 90.00 90.00 90.00
Last column: nearest neighbours and their distance in Å.
Fractional coordinates of all 18 atoms:
1 Cl 0.2493 0.2493 0.5000  1 Hf 2.46
2 Cl 0.1750 0.8250 0.6336  1 Hf 2.47
3 Cl 0.7507 0.7507 0.5000  1 Hf 2.46
4 Cl 0.7493 0.2507 0.0000  1 Hf 2.46
5 Cl 0.6750 0.6750 0.8664  1 Hf 2.47
6 Cl 0.8250 0.1750 0.3664  1 Hf 2.47
7 Cl 0.8250 0.1750 0.6336  1 Hf 2.47
8 Cl 0.3250 0.3250 0.8664  1 Hf 2.47
9 Cl 0.2507 0.7493 0.0000  1 Hf 2.46
10 Cl 0.6750 0.6750 0.1336  1 Hf 2.47
11 Cl 0.1750 0.8250 0.3664  1 Hf 2.47
12 Cl 0.3250 0.3250 0.1336  1 Hf 2.47
13 Tl 0.5000 0.5000 0.3344  6 Cl 3.17-3.31
14 Tl 0.0000 0.0000 0.8344  6 Cl 3.17-3.31
15 Tl 0.5000 0.5000 0.6656  6 Cl 3.17-3.31
16 Tl 0.0000 0.0000 0.1656  6 Cl 3.17-3.31
17 Hf 0.0000 0.0000 0.5000  6 Cl 2.46-2.47
18 Hf 0.5000 0.5000 0.0000  6 Cl 2.46-2.47

Summary:
Crystal system: tetragonal
ΔE to the lowest computed polymorph: 28 meV/atom
Raw total energy: -78.9 eV for the cell shown
Magnetization: 0.0 Bohr magnetons per cell
Formation energy without anion corrections: -1518 meV per atom

[6]
DFT (PBE) results for an optimized crystal structure of HfTl2Cl6.

Lattice parameters (Å, degrees): 7.2102 8.0280 10.0764 90.00 91.84 90.00
Last column: nearest neighbours and their distance in Å.
Fractional coordinates of all 18 atoms:
1 Cl 0.6701 0.2398 0.9576  1 Hf 2.47
2 Cl 0.0820 0.0230 0.7383  1 Hf 2.46
3 Cl 0.7162 0.1644 0.5357  1 Hf 2.47
4 Cl 0.3299 0.7602 0.0424  1 Hf 2.47
5 Cl 0.4180 0.5230 0.7617  1 Hf 2.46
6 Cl 0.7838 0.6644 0.9643  1 Hf 2.47
7 Cl 0.1701 0.2602 0.4576  1 Hf 2.47
8 Cl 0.2162 0.3356 0.0357  1 Hf 2.47
9 Cl 0.8299 0.7398 0.5424  1 Hf 2.47
10 Cl 0.5820 0.4770 0.2383  1 Hf 2.46
11 Cl 0.9180 0.9770 0.2617  1 Hf 2.46
12 Cl 0.2838 0.8356 0.4643  1 Hf 2.47
13 Tl 0.4801 0.0825 0.2483  8 Cl 3.25-3.51
14 Tl 0.9801 0.4175 0.7483  8 Cl 3.25-3.51
15 Tl 0.5199 0.9175 0.7517  8 Cl 3.25-3.51
16 Tl 0.0199 0.5825 0.2517  8 Cl 3.25-3.51
17 Hf 0.0000 0.0000 0.5000  6 Cl 2.46-2.47
18 Hf 0.5000 0.5000 0.0000  6 Cl 2.46-2.47

Summary:
Crystal system: monoclinic
ΔE to the lowest computed polymorph: 0 meV/atom
Raw total energy: -79.4 eV for the cell shown
Magnetization: 0.0 Bohr magnetons per cell
Formation energy without anion corrections: -1546 meV per atom

[7]
DFT (PBE) results for an optimized crystal structure of HfTlCl3.

Lattice parameters (Å, degrees): 5.0522 5.0522 5.0522 90.00 90.00 90.00
Last column: nearest neighbours and their distance in Å.
Fractional coordinates of all 5 atoms:
1 Tl 0.5000 0.5000 0.5000  12 Cl 3.57
2 Hf 0.0000 0.0000 0.0000  6 Cl 2.53
3 Cl 0.0000 0.5000 0.0000  2 Hf 2.53
4 Cl 0.5000 0.0000 0.0000  2 Hf 2.53
5 Cl 0.0000 0.0000 0.5000  2 Hf 2.53

Summary:
Crystal system: cubic
ΔE to the lowest computed polymorph: 0 meV/atom
Raw total energy: -22.8 eV for the cell shown
Magnetization: 0.0 Bohr magnetons per cell
Formation energy without anion corrections: -981 meV per atom

[8]
DFT (PBE) results for an optimized crystal structure of HfTlCl3.

Lattice parameters (Å, degrees): 5.5059 5.5059 5.5059 90.00 90.00 90.00
Last column: nearest neighbours and their distance in Å.
Fractional coordinates of all 5 atoms:
1 Tl 0.0000 0.0000 0.0000  6 Cl 2.75
2 Cl 0.0000 0.0000 0.5000  2 Tl 2.75
3 Cl 0.5000 0.0000 0.0000  2 Tl 2.75
4 Cl 0.0000 0.5000 0.0000  2 Tl 2.75
5 Hf 0.5000 0.5000 0.5000  12 Cl 3.89

Summary:
Crystal system: cubic
ΔE to the lowest computed polymorph: 1340 meV/atom
Raw total energy: -16.1 eV for the cell shown
Magnetization: 0.2 Bohr magnetons per cell
Formation energy without anion corrections: 359 meV per atom

[9]
DFT (PBE) results for an optimized crystal structure of HfTl2Cl8.

Lattice parameters (Å, degrees): 8.5945 7.7477 7.7477 56.33 117.17 117.17
Last column: nearest neighbours and their distance in Å.
Fractional coordinates of all 11 atoms:
1 Cl 0.9157 0.8559 0.3291  1 Hf 2.46
2 Cl 0.4560 0.4151 0.4151  1 Cl 2.03
3 Cl 0.5440 0.5849 0.5849  1 Cl 2.03
4 Cl 0.0843 0.6709 0.1441  1 Hf 2.46
5 Cl 0.0843 0.1441 0.6709  1 Hf 2.46
6 Cl 0.9157 0.3291 0.8559  1 Hf 2.46
7 Cl 0.6839 0.8363 0.8363  1 Hf 2.47
8 Cl 0.3161 0.1637 0.1637  1 Hf 2.47
9 Tl 0.7679 0.2310 0.2310  5 Cl 3.18-3.50
10 Tl 0.2321 0.7690 0.7690  5 Cl 3.18-3.50
11 Hf 0.0000 0.0000 0.0000  6 Cl 2.46-2.47

Summary:
Crystal system: monoclinic
Raw total energy: -43.1 eV for the cell shown
Magnetization: 0.0 Bohr magnetons per cell
Formation energy without anion corrections: -1241 meV per atom

[10]
DFT (PBE) results for an optimized crystal structure of HfTl3Cl8.

Lattice parameters (Å, degrees): 7.4218 8.5642 7.4218 64.32 90.00 115.68
Last column: nearest neighbours and their distance in Å.
Fractional coordinates of all 12 atoms:
1 Tl 0.2500 0.5000 0.2500  4 Cl 2.96
2 Tl 0.5000 0.0000 0.5000  4 Cl 3.08
3 Tl 0.7500 0.5000 0.7500  4 Cl 2.96
4 Cl 0.3375 0.3453 0.9922  1 Hf 2.91, 2 Tl 2.96, 3 Cl 3.23-3.25
5 Cl 0.7175 0.8723 0.8451  1 Hf 2.45
6 Cl 0.2825 0.1277 0.7175  1 Hf 2.45
7 Cl 0.0078 0.3453 0.6625  1 Hf 2.91, 2 Tl 2.96, 3 Cl 3.23-3.25
8 Cl 0.8451 0.1277 0.1549  1 Hf 2.45
9 Cl 0.6625 0.6547 0.3375  1 Hf 2.91, 2 Tl 2.96, 3 Cl 3.23-3.25
10 Cl 0.9922 0.6547 0.0078  1 Hf 2.91, 2 Tl 2.96, 3 Cl 3.23-3.25
11 Cl 0.1549 0.8723 0.2825  1 Hf 2.45
12 Hf 0.0000 0.0000 0.0000  4 Cl 2.45

Summary:
Crystal system: tetragonal
Raw total energy: -45.9 eV for the cell shown
Magnetization: 0.0 Bohr magnetons per cell
Formation energy without anion corrections: -1170 meV per atom

[11]
DFT (PBE) results for an optimized crystal structure of Hf2TlCl.

Lattice parameters (Å, degrees): 4.9078 4.9078 4.9078 60.00 60.00 60.00
Last column: nearest neighbours and their distance in Å.
Fractional coordinates of all 4 atoms:
1 Hf 0.2500 0.2500 0.2500  4 Tl 3.01, 4 Cl 3.01
2 Hf 0.7500 0.7500 0.7500  4 Tl 3.01, 4 Cl 3.01
3 Cl 0.0000 0.0000 0.0000  8 Hf 3.01
4 Tl 0.5000 0.5000 0.5000  8 Hf 3.01

Summary:
Crystal system: cubic
ΔE to the lowest computed polymorph: 0 meV/atom
Raw total energy: -23.9 eV for the cell shown
Magnetization: 0.0 Bohr magnetons per cell
Formation energy without anion corrections: 60 meV per atom

[12]
DFT (PBE) results for an optimized crystal structure of Hf2TlCl.

Lattice parameters (Å, degrees): 4.2825 4.2825 10.8736 78.64 78.64 90.00
Last column: nearest neighbours and their distance in Å.
Fractional coordinates of all 8 atoms:
1 Hf 0.1197 0.6250 0.2500  4 Hf 3.00-3.06, 2 Tl 3.01, 2 Cl 3.03
2 Hf 0.3750 0.3697 0.7500  4 Hf 3.00-3.06, 2 Tl 3.01, 2 Cl 3.03
3 Hf 0.6303 0.1250 0.2500  4 Hf 3.00-3.06, 2 Tl 3.01, 2 Cl 3.03
4 Hf 0.8750 0.8803 0.7500  4 Hf 3.00-3.06, 2 Tl 3.01, 2 Cl 3.03
5 Cl 0.5000 0.5000 0.0000  4 Hf 3.03, 4 Tl 3.03
6 Cl 0.2500 0.7500 0.5000  4 Hf 3.03, 4 Tl 3.03
7 Tl 0.0000 0.0000 0.0000  4 Hf 3.01, 4 Cl 3.03
8 Tl 0.7500 0.2500 0.5000  4 Hf 3.01, 4 Cl 3.03

Summary:
Crystal system: tetragonal
ΔE to the lowest computed polymorph: 209 meV/atom
Raw total energy: -46.1 eV for the cell shown
Magnetization: 0.0 Bohr magnetons per cell
Formation energy without anion corrections: 269 meV per atom